Entry 1:
Compound: K2MgZrSe4
Source: Alexandria via LeMat-Bulk
Functional: PBE
Structure: optimized geometry

```
K2MgZrSe4
1.0
-3.505 0.868 1.776
2.083 -3.407 5.776
2.277 7.587 0.788
K Mg Zr Se
2 1 1 4
Direct
0.500 0.000 0.500 K
0.000 0.500 0.500 K
0.000 0.000 0.000 Mg
0.500 0.500 0.000 Zr
0.500 0.237 0.192 Se
0.500 0.763 0.808 Se
0.000 0.275 0.801 Se
0.000 0.725 0.199 Se
```

Values from the calculation:
symmetry: P2/m (10)
raw formation energy: -1315 meV/atom
total DFT energy (no corrections): -4.60 eV per atom
crystal system: monoclinic
calculated density: 3.94 g/cm3

---

Entry 2:
Compound: CeHoHgPb
Source: Alexandria via LeMat-Bulk
Functional: PBE
Structure: optimized geometry

```
CeHoHgPb
1.0
5.408 0.000 0.000
2.704 4.684 0.000
2.704 1.561 4.416
Pb Hg Ce Ho
1 1 1 1
Direct
0.250 0.250 0.250 Pb
0.750 0.750 0.750 Hg
0.500 0.500 0.500 Ce
0.000 0.000 0.000 Ho
```

Values from the calculation:
symmetry: F-43m (216)
formation energy: -0.39 eV/atom
total DFT energy (no corrections): -4.02 eV per atom
crystal system: cubic
D(E_F): 10.08 states/eV/cell
calculated density: 10.58 g/cm3

---

Entry 3:
Compound: MgH4Rh4
Source: Alexandria via LeMat-Bulk
Functional: PBE
Structure: optimized geometry

```
MgH4Rh4
1.0
3.625 0.000 1.453
1.787 4.636 0.790
0.090 -0.066 5.023
Mg H Rh
1 4 4
Direct
0.000 0.000 0.000 Mg
0.862 0.461 0.815 H
0.138 0.539 0.185 H
0.323 0.816 0.537 H
0.677 0.184 0.463 H
0.607 0.588 0.198 Rh
0.393 0.412 0.802 Rh
0.195 0.198 0.412 Rh
0.805 0.802 0.588 Rh
```

Values from the calculation:
symmetry: I4/m (87)
total DFT energy (no corrections): -5.07 eV per atom
crystal system: tetragonal
D(E_F): 8.16 states/eV/cell
calculated density: 8.72 g/cm3

---

Entry 4:
Compound: CoTeMo2
Source: Alexandria via LeMat-Bulk
Functional: PBE
Structure: optimized geometry

```
CoTeMo2
1.0
4.847 -0.029 0.000
1.586 4.580 0.000
-3.217 -2.276 2.823
Co Mo Te
1 2 1
Direct
0.750 0.250 0.500 Co
0.000 0.000 0.000 Mo
0.250 0.750 0.500 Mo
0.500 0.500 0.000 Te
```

Values from the calculation:
symmetry: I-4m2 (119)
raw formation energy: 428 meV/atom
total DFT energy (no corrections): -7.55 eV per atom
crystal system: tetragonal
D(E_F): 4.02 states/eV/cell
calculated density: 10.01 g/cm3

---

Entry 5:
Compound: TiTcHRu2
Source: Alexandria via LeMat-Bulk
Functional: PBE
Structure: optimized geometry

```
TiTcHRu2
1.0
3.902 0.000 0.000
0.000 3.902 0.000
0.000 0.000 3.936
Ru Tc H Ti
2 1 1 1
Direct
0.000 0.500 0.000 Ru
0.500 0.000 0.000 Ru
0.500 0.500 0.500 Tc
0.000 0.000 0.000 H
0.000 0.000 0.500 Ti
```

Values from the calculation:
symmetry: P4/mmm (123)
total DFT energy (no corrections): -8.19 eV per atom
crystal system: tetragonal
D(E_F): 6.06 states/eV/cell
calculated density: 9.67 g/cm3